(1)
Below is crystalline LiRhW2 at its relaxed geometry, with properties calculated at the PBE level.

Values from the calculation:
Magnetization = 0.000 μB per formula unit
DOS at the Fermi energy = 3.02 states/eV/cell
Energy of formation = 0.22 eV per atom
Energy relative to the lowest polymorph listed for this composition = 0.091 eV/atom

Geometry as extended XYZ:
```
4
Lattice="5.117 0.000 -0.013 -2.479 4.476 -0.013 0.398 0.675 2.580" Properties=species:S:1:pos:R:3 pbc="T T T"
Li 2.758 0.338 1.284
W 1.319 2.238 -0.013
Rh -1.041 2.576 1.284
W 0.000 0.000 0.000
```

---

(2)
Below is crystalline ErPaIrSe at its relaxed geometry, with properties calculated at the PBE level.

Values from the calculation:
Energy relative to the elements, uncorrected = -1119 meV per atom
Magnetization = 0.000 μB per formula unit
DOS at the Fermi energy = 4.46 states/eV/cell

Geometry as extended XYZ:
```
4
Lattice="3.958 -0.001 0.000 -1.979 3.429 0.000 -1.979 -1.142 7.211" Properties=species:S:1:pos:R:3 pbc="T T T"
Ir -1.605 3.178 0.763
Se 0.374 -0.251 4.471
Er 2.353 0.892 2.469
Pa -1.605 0.892 6.498
```

---

(3)
Below is crystalline Hg2SbIr at its relaxed geometry, with properties calculated at the PBE level.

Values from the calculation:
Energy relative to the elements, uncorrected = 107 meV per atom
Magnetization = 0.000 μB per formula unit
DOS at the Fermi energy = 1.55 states/eV/cell

Geometry as extended XYZ:
```
4
Lattice="3.157 0.014 0.000 -0.015 3.157 0.000 0.000 0.000 9.381" Properties=species:S:1:pos:R:3 pbc="T T T"
Hg 1.571 1.586 2.763
Ir 0.000 0.000 4.796
Hg 0.000 0.000 0.151
Sb 1.571 1.586 6.361
```